## ScVAgS2 (PBE)

Data for a relaxed structure of ScVAgS2.

The space group is P4/mmm (No. 123) and the conventional cell measures 4.523, 4.523 and 4.935 Å, with angles of 90.00, 90.00 and 90.00 degrees. Symmetry generates all atoms from Sc at (0.000, 0.000, 0.000), V at (0.000, 0.000, 0.500), Ag at (0.500, 0.500, 0.000) and S at (0.000, 0.500, 0.500).

The calculation puts the calculated volume at 20.2 Å³ per atom.

---

## BaTeP2S8 (PBE)

Data for a relaxed structure of BaTeP2S8.

The space group is R-3 (No. 148, hexagonal axes) and the conventional cell measures 6.0657, 6.0657 and 27.3976 Å, with angles of 90.00, 90.00 and 120.00 degrees. Symmetry generates all atoms from Ba at (0.0000, 0.0000, 0.0000), Te at (0.0000, 0.0000, 0.5000), P at (0.0000, 0.0000, 0.2489), S at (0.0000, 0.0000, 0.3222) and S at (0.0075, 0.3635, 0.5594).

The calculation puts the calculated volume at 24.2 Å³ per atom.

---

## Tl2VCuCl6 (PBE)

Data for a relaxed structure of Tl2VCuCl6.

The space group is Pmmn (No. 59, origin choice 2) and the conventional cell measures 7.585, 8.778 and 7.717 Å, with angles of 90.00, 90.00 and 90.00 degrees. Symmetry generates all atoms from Tl at (0.250, 0.005, 0.193), V at (0.250, 0.250, 0.735), Cu at (0.250, 0.750, 0.563), Cl at (0.024, 0.250, 0.952), Cl at (0.037, 0.250, 0.500) and Cl at (0.250, 0.521, 0.750).

The calculation puts the calculated volume at 25.7 Å³ per atom.

---

## TiSbOs2Ru (PBE)

Data for a relaxed structure of TiSbOs2Ru.

The space group is P4/mmm (No. 123) and the conventional cell measures 4.672, 4.672 and 4.887 Å, with angles of 90.00, 90.00 and 90.00 degrees. Symmetry generates all atoms from Ti at (0.000, 0.000, 0.000), Sb at (0.500, 0.500, 0.000), Os at (0.000, 0.500, 0.500) and Ru at (0.500, 0.500, 0.500).

The calculation puts the calculated volume at 21.3 Å³ per atom.

---

## SmCu2Si (PBE)

Data for a relaxed structure of SmCu2Si.

The space group is R-3m (No. 166, hexagonal axes) and the conventional cell measures 4.0816, 4.0816 and 14.6722 Å, with angles of 90.00, 90.00 and 120.00 degrees. Symmetry generates all atoms from Sm at (0.0000, 0.0000, 0.0000), Cu at (0.0000, 0.0000, 0.2032) and Si at (0.0000, 0.0000, 0.5000).

The calculation puts the calculated volume at 17.6 Å³ per atom.

---

## Hg3SeI3 (PBE)

Data for a relaxed structure of Hg3SeI3.

The space group is P2_1/m (No. 11) and the conventional cell measures 9.178, 7.528 and 9.321 Å, with angles of 90.00, 116.91 and 90.00 degrees. Symmetry generates all atoms from Hg at (0.086, 0.250, 0.188), Hg at (0.264, 0.250, 0.845), Hg at (0.395, 0.750, 0.557), Se at (0.345, 0.250, 0.155), I at (0.103, 0.750, 0.264), I at (0.210, 0.750, 0.816) and I at (0.345, 0.250, 0.590).

The calculation puts the calculated volume at 41.0 Å³ per atom.

---

Total magnetic moment for every record listed, in sequence, given in μB/cell: 0.0; 0.0; 4.0; 0.0; 0.0; 0.0.
Formation energy from raw total energies for every record listed, in sequence, given in eV per formula unit: 0.08; -5.31; -9.77; 8.02; -1.53; -1.12.
VASP energy for every record listed, in sequence, given in eV per atom: -5.296; -4.517; -3.880; -7.147; -4.966; -1.451.